NaRuBr4 after structural relaxation. Source: Alexandria via LeMat-Bulk, functional PBE.

Cell: 8.6566 8.6566 6.6177 Å, 99.46 99.46 119.03°
Fractional coordinates of all 12 atoms:
Na 0.2342 0.7658 0.7500
Na 0.7658 0.2342 0.2500
Ru 0.0614 0.9386 0.2500
Ru 0.9386 0.0614 0.7500
Br 0.0062 0.6394 0.3161
Br 0.1122 0.2228 0.1419
Br 0.2228 0.1122 0.6419
Br 0.3606 0.9938 0.1839
Br 0.6394 0.0062 0.8161
Br 0.7772 0.8878 0.3581
Br 0.8878 0.7772 0.8581
Br 0.9938 0.3606 0.6839

Summary:
The raw formation energy comes out at -0.639 eV/atom.



NaRuBr4 after structural relaxation. Source: Alexandria via LeMat-Bulk, functional PBE.

Cell: 8.8618 8.8618 13.0069 Å, 123.54 123.54 25.07°
Fractional coordinates of all 12 atoms:
Na 0.2493 0.7507 0.7500
Na 0.7507 0.2493 0.2500
Ru 0.0000 0.5000 0.0000
Ru 0.5000 0.0000 0.5000
Br 0.0432 0.5432 0.6522
Br 0.1628 0.6620 0.0452
Br 0.3380 0.8372 0.4548
Br 0.4568 0.9568 0.8478
Br 0.5432 0.0432 0.1522
Br 0.6620 0.1628 0.5452
Br 0.8372 0.3380 0.9548
Br 0.9568 0.4568 0.3478

Summary:
The raw formation energy comes out at -0.647 eV/atom.



Number 1: polymorph energy (0 for the lowest one) 8 meV per atom. Number 2: polymorph energy (0 for the lowest one) 0 meV per atom.